PmTmSbPd after structural relaxation. Source: Alexandria, functional PBE.

Its uncorrected formation energy is -756 meV per atom. As for the crystal system: cubic.

Lattice parameters (Å, degrees): 5.183 5.183 5.183 60.00 60.00 60.00
Fractional coordinates of all 4 atoms:
Sb1 0.250 0.250 0.250
Pm1 0.500 0.500 0.500
Pd1 0.750 0.750 0.750
Tm1 0.000 0.000 0.000

InPbBr2 after structural relaxation. Source: Alexandria, functional PBE.

Its uncorrected formation energy is -417 meV per atom. As for the crystal system: trigonal.

Lattice parameters (Å, degrees): 10.545 10.545 10.545 21.16 21.16 21.16
Fractional coordinates of all 4 atoms:
Br1 0.767 0.767 0.767
Pb1 0.252 0.252 0.252
Br2 0.987 0.987 0.987
In1 0.494 0.494 0.494

CaPuP2Pd2 after structural relaxation. Source: Alexandria, functional PBE.

The value obtained for the energy of formation from the pure elements is -0.988 eV per atom. As for the crystal system: trigonal.

Lattice parameters (Å, degrees): 4.158 4.158 7.843 90.00 90.00 120.00
Fractional coordinates of all 6 atoms:
Pu1 0.000 0.000 0.000
Pd1 0.333 0.667 0.746
P1 0.667 0.333 0.772
Ca1 0.000 0.000 0.500
P2 0.333 0.667 0.228
Pd2 0.667 0.333 0.254

TlSbTeI2 after structural relaxation. Source: Alexandria, functional PBE.

Its uncorrected formation energy is 162 meV per atom. As for the crystal system: tetragonal.

Lattice parameters (Å, degrees): 6.265 6.265 5.772 90.00 90.00 90.00
Fractional coordinates of all 5 atoms:
Te1 0.000 0.000 0.000
Tl1 0.500 0.500 0.500
Sb1 0.000 0.000 0.500
I1 0.500 0.000 0.000
I2 0.000 0.500 0.000

InCoGe after structural relaxation. Source: Alexandria, functional PBE.

The value obtained for the energy of formation from the pure elements is 0.028 eV per atom. As for the crystal system: monoclinic.

Lattice parameters (Å, degrees): 3.028 6.321 6.760 120.65 102.94 90.00
Fractional coordinates of all 6 atoms:
In1 0.410 0.132 0.820
Co1 0.900 0.774 0.799
Co2 0.100 0.226 0.201
Ge1 0.316 0.430 0.632
Ge2 0.684 0.570 0.368
In2 0.590 0.868 0.180

SrCdI2O after structural relaxation. Source: Alexandria, functional PBE.

Its uncorrected formation energy is -906 meV per atom. As for the crystal system: tetragonal.

Lattice parameters (Å, degrees): 6.047 6.047 4.180 90.00 90.00 90.00
Fractional coordinates of all 5 atoms:
O1 0.000 0.000 0.500
I1 0.500 0.000 0.000
I2 0.000 0.500 0.000
Sr1 0.500 0.500 0.500
Cd1 0.000 0.000 0.000

Cu2TeCl after structural relaxation. Source: Alexandria, functional PBE.

Its uncorrected formation energy is 346 meV per atom. As for the crystal system: cubic.

Lattice parameters (Å, degrees): 4.743 4.743 4.743 60.00 60.00 60.00
Fractional coordinates of all 4 atoms:
Cu1 0.750 0.750 0.750
Cu2 0.250 0.250 0.250
Cl1 0.000 0.000 0.000
Te1 0.500 0.500 0.500

RbCe2BiO8 after structural relaxation. Source: Alexandria, functional PBE.

Its uncorrected formation energy is -2035 meV per atom. As for the crystal system: orthorhombic.

Lattice parameters (Å, degrees): 5.035 5.044 8.191 90.00 90.00 89.60
Fractional coordinates of all 12 atoms:
O1 0.799 0.202 0.805
Bi1 0.000 0.000 0.000
Ce1 0.500 0.500 0.217
O2 0.201 0.798 0.805
O3 0.201 0.798 0.195
O4 0.799 0.202 0.195
O5 0.695 0.696 0.000
O6 0.602 0.603 0.500
O7 0.398 0.397 0.500
Ce2 0.500 0.500 0.783
O8 0.305 0.304 0.000
Rb1 0.000 0.000 0.500

In eV per atom, the total energy values for the records above are, in order, -5.39, -2.87, -7.24, -2.38, -4.79, -3.04, -2.95, -6.73.